This record from Alexandria describes a relaxed Ba3SrRe2N6 crystal. The functional is PBE.

The space group is P-3m1 (No. 164) and the conventional cell measures 6.4532, 6.4532 and 7.4203 Å, with angles of 90.00, 90.00 and 120.00 degrees. The asymmetric unit holds Ba at (0.0000, 0.0000, 0.0000), Ba at (0.3333, 0.6667, 0.7270), Sr at (0.0000, 0.0000, 0.5000), Re at (0.3333, 0.6667, 0.2409) and N at (0.1731, 0.3462, 0.2687).

The formation energy (no corrections) is -0.726 eV/atom.

***

This record from Alexandria describes a relaxed Rb2HfSeBr6 crystal. The functional is PBE.

The space group is I4/mmm (No. 139) and the conventional cell measures 8.7977, 8.7977 and 10.3944 Å, with angles of 90.00, 90.00 and 90.00 degrees. The asymmetric unit holds Rb at (0.0000, 0.5000, 0.2500), Hf at (0.0000, 0.0000, 0.0000), Se at (0.0000, 0.0000, 0.5000), Br at (0.0000, 0.0000, 0.2520) and Br at (0.2109, 0.2109, 0.0000).

The formation energy (no corrections) is -1.165 eV/atom.

***

This record from Alexandria describes a relaxed ScHg2Ir crystal. The functional is PBE.

The space group is Cmmm (No. 65) and the conventional cell measures 5.7169, 8.2981 and 3.2508 Å, with angles of 90.00, 90.00 and 90.00 degrees. The asymmetric unit holds Sc at (0.0000, 0.0000, 0.0000), Hg at (0.2500, 0.2500, 0.5000) and Ir at (0.0000, 0.5000, 0.0000).

The calculated formation energy is 0.040 eV per atom.

***

This record from Alexandria describes a relaxed RhSe crystal. The functional is PBE.

The space group is Cmmm (No. 65) and the conventional cell measures 2.9566, 5.2077 and 4.2888 Å, with angles of 90.00, 90.00 and 90.00 degrees. The asymmetric unit holds Rh at (0.0000, 0.0000, 0.0000) and Se at (0.0000, 0.5000, 0.5000).

The formation energy (no corrections) is 0.299 eV/atom.

***

This record from Alexandria describes a relaxed TbPm2Al2 crystal. The functional is PBE.

The space group is Immm (No. 71) and the conventional cell measures 4.9165, 6.8173 and 8.0769 Å, with angles of 90.00, 90.00 and 90.00 degrees. The asymmetric unit holds Tb at (0.0000, 0.0000, 0.0000), Pm at (0.0000, 0.5000, 0.1976) and Al at (0.0000, 0.1969, 0.5000).

The calculated formation energy is -0.314 eV per atom.

***

This record from Alexandria describes a relaxed Ba6NaSr2Pd crystal. The functional is PBE.

The space group is Imm2 (No. 44) and the conventional cell measures 9.4609, 13.3575 and 9.4295 Å, with angles of 90.00, 90.00 and 90.00 degrees. The asymmetric unit holds Ba at (0.0000, 0.2349, 0.0000), Ba at (0.2341, 0.0000, 0.7647), Ba at (0.2351, 0.0000, 0.2353), Na at (0.0000, 0.5000, 0.0005), Sr at (0.0000, 0.2503, 0.4999) and Pd at (0.0000, 0.0000, 0.0002).

The calculated formation energy is -0.040 eV per atom.

***

This record from Alexandria describes a relaxed ZrScBW2 crystal. The functional is PBE.

The space group is P4/mmm (No. 123) and the conventional cell measures 4.2836, 4.2836 and 4.7087 Å, with angles of 90.00, 90.00 and 90.00 degrees. The asymmetric unit holds Zr at (0.0000, 0.0000, 0.0000), Sc at (0.5000, 0.5000, 0.0000), B at (0.0000, 0.0000, 0.5000) and W at (0.0000, 0.5000, 0.5000).

The calculated formation energy is 0.112 eV per atom.

***

This record from Alexandria describes a relaxed PrDyTm2Se4 crystal. The functional is PBE.

The space group is P2/m (No. 10) and the conventional cell measures 7.0258, 4.0186 and 7.2603 Å, with angles of 90.00, 108.51 and 90.00 degrees. The asymmetric unit holds Pr at (0.0000, 0.0000, 0.0000), Dy at (0.5000, 0.5000, 0.0000), Tm at (0.0000, 0.5000, 0.5000), Tm at (0.5000, 0.0000, 0.5000), Se at (0.2526, 0.0000, 0.7378) and Se at (0.2628, 0.5000, 0.2674).

The formation energy (no corrections) is -1.726 eV/atom.

***

This record from Alexandria describes a relaxed B2Rh crystal. The functional is PBE.

The space group is I4/mmm (No. 139) and the conventional cell measures 2.7750, 2.7750 and 6.8388 Å, with angles of 90.00, 90.00 and 90.00 degrees. The asymmetric unit holds B at (0.0000, 0.0000, 0.1813) and Rh at (0.0000, 0.0000, 0.5000).

The calculated formation energy is 0.305 eV per atom.

***

This record from Alexandria describes a relaxed Sm2YSc2In5 crystal. The functional is PBE.

The space group is P4/mbm (No. 127) and the conventional cell measures 10.6073, 10.6073 and 4.6650 Å, with angles of 90.00, 90.00 and 90.00 degrees. The asymmetric unit holds Sm at (0.1784, 0.3216, 0.0000), Y at (0.0000, 0.0000, 0.0000), Sc at (0.1189, 0.6189, 0.0000), In at (0.0000, 0.5000, 0.5000) and In at (0.0650, 0.7975, 0.5000).

The calculated formation energy is -0.368 eV per atom.

***

This record from Alexandria describes a relaxed HfBi4Pd15 crystal. The functional is PBE.

The space group is P4/mmm (No. 123) and the conventional cell measures 4.1068, 4.1068 and 20.6756 Å, with angles of 90.00, 90.00 and 90.00 degrees. The asymmetric unit holds Hf at (0.0000, 0.0000, 0.0000), Bi at (0.0000, 0.0000, 0.1972), Bi at (0.0000, 0.0000, 0.3990), Pd at (0.0000, 0.5000, 0.0924), Pd at (0.0000, 0.5000, 0.2974), Pd at (0.0000, 0.5000, 0.5000), Pd at (0.5000, 0.5000, 0.0000), Pd at (0.5000, 0.5000, 0.1954) and Pd at (0.5000, 0.5000, 0.3982).

The calculated formation energy is -0.359 eV per atom.

***

This record from Alexandria describes a relaxed Ac8HIr3Br3 crystal. The functional is PBE.

The space group is R-3m (No. 166, hexagonal axes) and the conventional cell measures 8.7189, 8.7189 and 24.0150 Å, with angles of 90.00, 90.00 and 120.00 degrees. The asymmetric unit holds Ac at (0.0000, 0.0000, 0.2327), Ac at (0.0083, 0.5041, 0.7665), H at (0.0000, 0.0000, 0.5000), Ir at (0.0000, 0.5000, 0.5000) and Br at (0.0000, 0.5000, 0.0000).

Its total energy is -0.4007 Ry per atom.

***

This record from Alexandria describes a relaxed Na2AlF6 crystal. The functional is PBE.

The space group is P2_1/c (No. 14) and the conventional cell measures 5.5766, 5.8861 and 8.9466 Å, with angles of 90.00, 121.00 and 90.00 degrees. The asymmetric unit holds Na at (0.1924, 0.0792, 0.2348), Al at (0.5000, 0.0000, 0.0000), F at (0.1893, 0.1617, 0.9511), F at (0.2772, 0.7485, 0.4037) and F at (0.4488, 0.0816, 0.7913).

The formation energy (no corrections) is -2.795 eV/atom.

***

This record from Alexandria describes a relaxed TmU2PaC4 crystal. The functional is PBE.

The space group is P2/m (No. 10) and the conventional cell measures 6.0475, 3.5509 and 6.1512 Å, with angles of 90.00, 109.92 and 90.00 degrees. The asymmetric unit holds Tm at (0.0000, 0.0000, 0.0000), U at (0.5000, 0.0000, 0.5000), U at (0.5000, 0.5000, 0.0000), Pa at (0.0000, 0.5000, 0.5000), C at (0.2705, 0.0000, 0.7565) and C at (0.2754, 0.5000, 0.2616).

The calculated formation energy is -0.291 eV per atom.

***

This record from Alexandria describes a relaxed SrInSbPb2 crystal. The functional is PBE.

The space group is P4/mmm (No. 123) and the conventional cell measures 5.8970, 5.8970 and 6.1565 Å, with angles of 90.00, 90.00 and 90.00 degrees. The asymmetric unit holds Sr at (0.0000, 0.0000, 0.0000), In at (0.5000, 0.5000, 0.0000), Sb at (0.0000, 0.0000, 0.5000) and Pb at (0.0000, 0.5000, 0.5000).

The formation energy (no corrections) is 0.191 eV/atom.

***

This record from Alexandria describes a relaxed LiTl3Cu2I6 crystal. The functional is PBE.

The space group is P-3m1 (No. 164) and the conventional cell measures 8.4198, 8.4198 and 8.9713 Å, with angles of 90.00, 90.00 and 120.00 degrees. The asymmetric unit holds Li at (0.0000, 0.0000, 0.0000), Tl at (0.0000, 0.0000, 0.5000), Tl at (0.3333, 0.6667, 0.1129), Cu at (0.3333, 0.6667, 0.7941) and I at (0.1607, 0.3215, 0.7934).

The formation energy (no corrections) is -0.485 eV/atom.

***

This record from Alexandria describes a relaxed PmHo6Sc8 crystal. The functional is PBE.

The space group is R-3 (No. 148, hexagonal axes) and the conventional cell measures 8.5666, 8.5666 and 19.7802 Å, with angles of 90.00, 90.00 and 120.00 degrees. The asymmetric unit holds Pm at (0.0000, 0.0000, 0.0000), Ho at (0.0608, 0.8133, 0.7105), Sc at (0.0000, 0.0000, 0.4254) and Sc at (0.0794, 0.5231, 0.8088).

The calculated formation energy is 0.148 eV per atom.

***

This record from Alexandria describes a relaxed CaLa2HPb crystal. The functional is PBE.

The space group is P4/mmm (No. 123) and the conventional cell measures 4.9983, 4.9983 and 5.2485 Å, with angles of 90.00, 90.00 and 90.00 degrees. The asymmetric unit holds Ca at (0.0000, 0.0000, 0.0000), La at (0.0000, 0.5000, 0.5000), H at (0.0000, 0.0000, 0.5000) and Pb at (0.5000, 0.5000, 0.0000).

Its total energy is -0.3098 Ry per atom.

***

This record from Alexandria describes a relaxed Sr3WSe crystal. The functional is PBE.

The space group is Pm-3m (No. 221) and the conventional cell measures 5.6537, 5.6537 and 5.6537 Å, with angles of 90.00, 90.00 and 90.00 degrees. The asymmetric unit holds Sr at (0.0000, 0.0000, 0.5000), W at (0.0000, 0.0000, 0.0000) and Se at (0.5000, 0.5000, 0.5000).

The formation energy (no corrections) is 0.644 eV/atom.

***

This record from Alexandria describes a relaxed Ba2BeTc crystal. The functional is PBE.

The space group is I-42d (No. 122) and the conventional cell measures 11.5269, 11.5269 and 4.4839 Å, with angles of 90.00, 90.00 and 90.00 degrees. The asymmetric unit holds Ba at (0.0106, 0.2500, 0.1250), Be at (0.0000, 0.0000, 0.5000) and Tc at (0.0000, 0.0000, 0.0000).

The calculated formation energy is 0.640 eV per atom.

***

This record from Alexandria describes a relaxed CoAsPBr2 crystal. The functional is PBE.

The space group is P4/mmm (No. 123) and the conventional cell measures 4.7704, 4.7704 and 4.6554 Å, with angles of 90.00, 90.00 and 90.00 degrees. The asymmetric unit holds Co at (0.0000, 0.0000, 0.0000), As at (0.0000, 0.0000, 0.5000), P at (0.5000, 0.5000, 0.5000) and Br at (0.0000, 0.5000, 0.0000).

The formation energy (no corrections) is 0.698 eV/atom.

***

This record from Alexandria describes a relaxed KBaLaAl2 crystal. The functional is PBE.

The space group is P4/mmm (No. 123) and the conventional cell measures 5.8747, 5.8747 and 5.7431 Å, with angles of 90.00, 90.00 and 90.00 degrees. The asymmetric unit holds K at (0.0000, 0.0000, 0.0000), Ba at (0.0000, 0.0000, 0.5000), La at (0.5000, 0.5000, 0.0000) and Al at (0.0000, 0.5000, 0.5000).

The calculated formation energy is 0.892 eV per atom.

***

This record from Alexandria describes a relaxed Be2GeW crystal. The functional is PBE.

The space group is I-42d (No. 122) and the conventional cell measures 6.4604, 6.4604 and 4.9674 Å, with angles of 90.00, 90.00 and 90.00 degrees. The asymmetric unit holds Be at (0.2330, 0.7500, 0.1250), Ge at (0.0000, 0.0000, 0.0000) and W at (0.0000, 0.0000, 0.5000).

The calculated formation energy is 0.564 eV per atom.